# YFeSiAg

YFeSiAg after structural relaxation (PBE-GGA, OQMD).

abc: 6.619 6.619 6.619
angles: 90.00 90.00 90.00
Space group F-43m (No. 216)
Symmetry-distinct sites (fractional):
Y  0.000  0.000  0.000 x4
Fe  0.000  0.000  0.500 x4
Si  0.250  0.250  0.250 x4
Ag  0.250  0.250  0.750 x4

Computed properties:
relative energy among the computed polymorphs	0	meV per atom
raw total energy	-5.790	eV per atom



# YFeSi2Ag

YFeSi2Ag after structural relaxation (PBE-GGA, OQMD).

abc: 4.067 4.067 10.221
angles: 90.00 90.00 90.00
Space group I-4m2 (No. 119)
Symmetry-distinct sites (fractional):
Y  0.000  0.000  0.000 x2
Fe  0.000  0.500  0.250 x2
Si  0.000  0.000  0.384 x4
Ag  0.000  0.500  0.750 x2

Computed properties:
raw total energy	-6.106	eV per atom



# ZnFeSiAg

ZnFeSiAg after structural relaxation (PBE-GGA, OQMD).

abc: 6.120 6.120 6.120
angles: 90.00 90.00 90.00
Space group F-43m (No. 216)
Symmetry-distinct sites (fractional):
Zn  0.000  0.000  0.000 x4
Fe  0.000  0.000  0.500 x4
Si  0.250  0.250  0.250 x4
Ag  0.250  0.250  0.750 x4

Computed properties:
relative energy among the computed polymorphs	84	meV per atom
raw total energy	-4.184	eV per atom